Entry from Alexandria: a relaxed structure of NiPd8Pt6 (PBE).

It has space group R-3 (No. 148, hexagonal axes), with a = 7.4099 Å, b = 7.4099 Å, c = 16.2256 Å, α = 90.00°, β = 90.00° and γ = 120.00°. Symmetry generates all atoms from Ni at (0.0000, 0.0000, 0.0000), Pd at (0.0000, 0.0000, 0.3130), Pd at (0.0096, 0.3544, 0.8770) and Pt at (0.0075, 0.3571, 0.7136).

The magnetization comes out at 0.00 μB/f.u. As for the formation energy: 216 meV per atom. For the density, the calculation gives 13.43 g cm⁻³. As for the crystal system: trigonal. The total energy is -5.355 eV per atom.


Entry from Alexandria: a relaxed structure of Ni3PdPt7 (PBE).

It has space group C2/m (No. 12), with a = 8.275 Å, b = 9.024 Å, c = 5.119 Å, α = 90.00°, β = 114.20° and γ = 90.00°. Symmetry generates all atoms from Ni at (0.000, 0.000, 0.000), Ni at (0.000, 0.227, 0.500), Pd at (0.000, 0.500, 0.000), Pt at (0.000, 0.500, 0.500), Pt at (0.175, 0.239, 0.188) and Pt at (0.184, 0.000, 0.531).

The magnetization comes out at 0.00 μB/f.u. As for the formation energy: 239 meV per atom. For the density, the calculation gives 15.70 g cm⁻³. As for the crystal system: monoclinic. The total energy is -5.654 eV per atom.